(1)
Density functional theory data (meta-GGA SCAN) for K2FeSnF at its PBEsol-relaxed geometry.

The structure in CIF format:
```
data_K2FeSnF
_cell_length_a 6.806
_cell_length_b 6.806
_cell_length_c 4.477
_cell_angle_alpha 90.00
_cell_angle_beta 90.00
_cell_angle_gamma 90.00
_symmetry_space_group_name_H-M 'P 4/m m m'
_symmetry_Int_Tables_number 123
_symmetry_space_group_name_Hall '-P 4 2'
loop_
_atom_site_label
_atom_site_type_symbol
_atom_site_fract_x
_atom_site_fract_y
_atom_site_fract_z
K1 K 0.000 0.500 0.000
Fe1 Fe 0.000 0.000 0.500
Sn1 Sn 0.500 0.500 0.000
F1 F 0.500 0.500 0.500
```

(2)
Density functional theory data (meta-GGA SCAN) for LaFeOF2 at its PBEsol-relaxed geometry.

The structure in CIF format:
```
data_LaFeOF2
_cell_length_a 4.601
_cell_length_b 4.601
_cell_length_c 4.624
_cell_angle_alpha 90.00
_cell_angle_beta 90.00
_cell_angle_gamma 90.00
_symmetry_space_group_name_H-M 'P 4/m m m'
_symmetry_Int_Tables_number 123
_symmetry_space_group_name_Hall '-P 4 2'
loop_
_atom_site_label
_atom_site_type_symbol
_atom_site_fract_x
_atom_site_fract_y
_atom_site_fract_z
La1 La 0.000 0.000 0.000
Fe1 Fe 0.500 0.500 0.500
O1 O 0.000 0.000 0.500
F1 F 0.000 0.500 0.000
```

(3)
Density functional theory data (meta-GGA SCAN) for Li2FeF at its PBEsol-relaxed geometry.

The structure in CIF format:
```
data_Li2FeF
_cell_length_a 5.562
_cell_length_b 5.562
_cell_length_c 7.056
_cell_angle_alpha 90.00
_cell_angle_beta 90.00
_cell_angle_gamma 90.00
_symmetry_space_group_name_H-M 'I -4 2 d'
_symmetry_Int_Tables_number 122
_symmetry_space_group_name_Hall 'I -4 2bw'
loop_
_atom_site_label
_atom_site_type_symbol
_atom_site_fract_x
_atom_site_fract_y
_atom_site_fract_z
Li1 Li 0.118 0.750 0.125
Fe1 Fe 0.000 0.000 0.500
F1 F 0.000 0.000 0.000
```

(4)
Density functional theory data (meta-GGA SCAN) for Li2FeF5 at its PBEsol-relaxed geometry.

The structure in CIF format:
```
data_Li2FeF5
_cell_length_a 5.023
_cell_length_b 5.479
_cell_length_c 7.098
_cell_angle_alpha 108.49
_cell_angle_beta 90.72
_cell_angle_gamma 116.05
_symmetry_space_group_name_H-M 'P 1'
_symmetry_Int_Tables_number 1
loop_
_symmetry_equiv_pos_as_xyz
'x,y,z'
loop_
_atom_site_label
_atom_site_type_symbol
_atom_site_fract_x
_atom_site_fract_y
_atom_site_fract_z
Li1 Li 0.000 0.000 0.000
Li2 Li 0.012 0.026 0.503
Li3 Li 0.354 0.715 0.792
Li4 Li 0.660 0.295 0.214
Fe1 Fe 0.375 0.757 0.273
Fe2 Fe 0.618 0.233 0.716
F1 F 0.231 0.044 0.759
F2 F 0.258 0.838 0.054
F3 F 0.345 0.389 0.173
F4 F 0.445 0.196 0.467
F5 F 0.574 0.860 0.567
F6 F 0.649 0.595 0.844
F7 F 0.761 0.203 0.945
F8 F 0.784 0.000 0.251
F9 F 0.994 0.654 0.354
F10 F 0.996 0.383 0.656
```

(5)
Density functional theory data (meta-GGA SCAN) for LiFeF5 at its PBEsol-relaxed geometry.

The structure in CIF format:
```
data_LiFeF5
_cell_length_a 8.479
_cell_length_b 5.793
_cell_length_c 7.609
_cell_angle_alpha 90.00
_cell_angle_beta 118.83
_cell_angle_gamma 90.00
_symmetry_space_group_name_H-M 'C 1 2/c 1'
_symmetry_Int_Tables_number 15
loop_
_symmetry_equiv_pos_as_xyz
'x,y,z'
'-x,-y,-z'
'-x,y,-z+1/2'
'x,-y,z+1/2'
'x+1/2,y+1/2,z'
'-x+1/2,-y+1/2,-z'
'-x+1/2,y+1/2,-z+1/2'
'x+1/2,-y+1/2,z+1/2'
loop_
_atom_site_label
_atom_site_type_symbol
_atom_site_fract_x
_atom_site_fract_y
_atom_site_fract_z
Li1 Li 0.000 0.028 0.250
Fe1 Fe 0.000 0.500 0.000
F1 F 0.000 0.371 0.250
F2 F 0.035 0.213 0.949
F3 F 0.233 0.457 0.638
```

(6)
Density functional theory data (meta-GGA SCAN) for LiFeF2 at its PBEsol-relaxed geometry.

The structure in CIF format:
```
data_LiFeF2
_cell_length_a 5.355
_cell_length_b 5.355
_cell_length_c 5.355
_cell_angle_alpha 90.00
_cell_angle_beta 90.00
_cell_angle_gamma 90.00
_symmetry_space_group_name_H-M 'F m -3 m'
_symmetry_Int_Tables_number 225
_symmetry_space_group_name_Hall '-F 4 2 3'
loop_
_atom_site_label
_atom_site_type_symbol
_atom_site_fract_x
_atom_site_fract_y
_atom_site_fract_z
Li1 Li 0.000 0.000 0.000
Fe1 Fe 0.000 0.000 0.500
F1 F 0.250 0.250 0.250
```

(7)
Density functional theory data (meta-GGA SCAN) for LiFeF6 at its PBEsol-relaxed geometry.

The structure in CIF format:
```
data_LiFeF6
_cell_length_a 4.672
_cell_length_b 4.672
_cell_length_c 8.453
_cell_angle_alpha 90.00
_cell_angle_beta 90.00
_cell_angle_gamma 90.00
_symmetry_space_group_name_H-M 'P 42 n m'
_symmetry_Int_Tables_number 102
loop_
_symmetry_equiv_pos_as_xyz
'x,y,z'
'-y+1/2,x+1/2,z+1/2'
'-x,-y,z'
'y+1/2,-x+1/2,z+1/2'
'-x+1/2,y+1/2,z+1/2'
'y,x,z'
'x+1/2,-y+1/2,z+1/2'
'-y,-x,z'
loop_
_atom_site_label
_atom_site_type_symbol
_atom_site_fract_x
_atom_site_fract_y
_atom_site_fract_z
Li1 Li 0.000 0.000 0.000
Fe1 Fe 0.000 0.000 0.647
F1 F 0.182 0.182 0.799
F2 F 0.191 0.191 0.503
F3 F 0.234 0.234 0.146
```

(8)
Density functional theory data (meta-GGA SCAN) for LiMgFe2F at its PBEsol-relaxed geometry.

The structure in CIF format:
```
data_LiMgFe2F
_cell_length_a 4.266
_cell_length_b 4.266
_cell_length_c 3.627
_cell_angle_alpha 90.00
_cell_angle_beta 90.00
_cell_angle_gamma 90.00
_symmetry_space_group_name_H-M 'P 4/m m m'
_symmetry_Int_Tables_number 123
_symmetry_space_group_name_Hall '-P 4 2'
loop_
_atom_site_label
_atom_site_type_symbol
_atom_site_fract_x
_atom_site_fract_y
_atom_site_fract_z
Li1 Li 0.000 0.000 0.000
Mg1 Mg 0.500 0.500 0.000
Fe1 Fe 0.000 0.500 0.500
F1 F 0.000 0.000 0.500
```

(9)
Density functional theory data (meta-GGA SCAN) for LiFe5O4F8 at its PBEsol-relaxed geometry.

The structure in CIF format:
```
data_LiFe5O4F8
_cell_length_a 6.253
_cell_length_b 6.816
_cell_length_c 8.853
_cell_angle_alpha 90.00
_cell_angle_beta 90.00
_cell_angle_gamma 90.00
_symmetry_space_group_name_H-M 'C m m m'
_symmetry_Int_Tables_number 65
_symmetry_space_group_name_Hall '-C 2 2'
loop_
_atom_site_label
_atom_site_type_symbol
_atom_site_fract_x
_atom_site_fract_y
_atom_site_fract_z
Li1 Li 0.000 0.000 0.000
Fe1 Fe 0.000 0.000 0.324
Fe2 Fe 0.000 0.500 0.183
Fe3 Fe 0.000 0.500 0.500
O1 O 0.199 0.500 0.342
F1 F 0.000 0.197 0.500
F2 F 0.000 0.204 0.169
F3 F 0.195 0.500 0.000
```

(10)
Density functional theory data (meta-GGA SCAN) for LiFe3O2F6 at its PBEsol-relaxed geometry.

The structure in CIF format:
```
data_LiFe3O2F6
_cell_length_a 4.988
_cell_length_b 5.547
_cell_length_c 5.570
_cell_angle_alpha 108.12
_cell_angle_beta 113.03
_cell_angle_gamma 90.27
_symmetry_space_group_name_H-M 'P 1'
_symmetry_Int_Tables_number 1
loop_
_symmetry_equiv_pos_as_xyz
'x,y,z'
loop_
_atom_site_label
_atom_site_type_symbol
_atom_site_fract_x
_atom_site_fract_y
_atom_site_fract_z
Li1 Li 0.000 0.000 0.000
Fe1 Fe 0.222 0.645 0.452
Fe2 Fe 0.686 0.876 0.425
Fe3 Fe 0.691 0.412 0.433
O1 O 0.649 0.721 0.662
O2 O 0.758 0.581 0.230
F1 F 0.090 0.955 0.661
F2 F 0.093 0.468 0.652
F3 F 0.274 0.820 0.204
F4 F 0.278 0.321 0.206
F5 F 0.641 0.205 0.634
F6 F 0.748 0.080 0.217
```

(11)
Density functional theory data (meta-GGA SCAN) for LiFeOF at its PBEsol-relaxed geometry.

The structure in CIF format:
```
data_LiFeOF
_cell_length_a 2.836
_cell_length_b 2.836
_cell_length_c 4.593
_cell_angle_alpha 90.00
_cell_angle_beta 90.00
_cell_angle_gamma 90.00
_symmetry_space_group_name_H-M 'P 4/m m m'
_symmetry_Int_Tables_number 123
_symmetry_space_group_name_Hall '-P 4 2'
loop_
_atom_site_label
_atom_site_type_symbol
_atom_site_fract_x
_atom_site_fract_y
_atom_site_fract_z
Li1 Li 0.000 0.000 0.000
Fe1 Fe 0.500 0.500 0.500
O1 O 0.000 0.000 0.500
F1 F 0.500 0.500 0.000
```

(12)
Density functional theory data (meta-GGA SCAN) for LiFe5O4F8 at its PBEsol-relaxed geometry.

The structure in CIF format:
```
data_LiFe5O4F8
_cell_length_a 5.334
_cell_length_b 9.796
_cell_length_c 16.063
_cell_angle_alpha 90.00
_cell_angle_beta 90.00
_cell_angle_gamma 90.00
_symmetry_space_group_name_H-M 'F 2 2 2'
_symmetry_Int_Tables_number 22
_symmetry_space_group_name_Hall 'F 2 2'
loop_
_atom_site_label
_atom_site_type_symbol
_atom_site_fract_x
_atom_site_fract_y
_atom_site_fract_z
Li1 Li 0.000 0.000 0.000
Fe1 Fe 0.000 0.000 0.340
Fe2 Fe 0.250 0.250 0.094
Fe3 Fe 0.250 0.250 0.750
O1 O 0.010 0.200 0.670
F1 F 0.000 0.224 0.000
F2 F 0.240 0.042 0.081
F3 F 0.250 0.025 0.750
```

| no. | E_form (uncorrected) (eV per atom) | electronic total energy (eV/atom) |
| --- | --- | --- |
| 1 | 0.083 | -14.77 |
| 2 | -2.117 | -17.03 |
| 3 | -0.853 | -7.47 |
| 4 | -2.702 | -7.78 |
| 5 | -2.462 | -7.92 |
| 6 | -1.699 | -8.60 |
| 7 | -2.260 | -7.48 |
| 8 | -0.236 | -9.67 |
| 9 | -2.274 | -10.40 |
| 10 | -2.191 | -9.73 |
| 11 | -2.070 | -9.64 |
| 12 | -2.245 | -10.37 |